Below is a PBEsol-optimized structure of LaZnSb, with properties calculated at the meta-GGA SCAN level.

Structure (POSCAR):
```
LaZnSb
1.0
0.000 3.534 3.534
3.534 0.000 3.534
3.534 3.534 0.000
La Zn Sb
1 1 1
direct
0.000 0.000 0.000 La
0.500 0.500 0.500 Zn
0.750 0.750 0.750 Sb
```

ΔE_f (raw) (eV/atom): -0.307
Size of the total moment (μB per formula unit): 0.0
Final energy (eV/atom): -31.60
DOS(E_F) (states/eV/atom): 1.01